K3Pb11: optimized geometry, GGA-PBE.

ΔH_f (0 K): -0.0967 eV per atom
D(E_F): 0.49 states/eV/atom

a b c (Å): 5.484 9.870 9.870
angles (deg): 77.88 73.87 73.87
Atoms (fractional coordinates):
K 0.000 0.000 0.000
K 0.286 0.714 0.714
K 0.714 0.286 0.286
Pb 0.635 0.730 0.999
Pb 0.851 0.427 0.872
Pb 0.635 0.999 0.730
Pb 0.500 0.339 0.661
Pb 0.149 0.128 0.573
Pb 0.000 0.500 0.500
Pb 0.851 0.872 0.427
Pb 0.500 0.661 0.339
Pb 0.365 0.001 0.270
Pb 0.149 0.573 0.128
Pb 0.365 0.270 0.001

Li3LaEr2Se6: optimized geometry, GGA-PBE.

E_form (uncorrected): -1.701 eV/atom
D(E_F): 0.00 states/eV/atom

a b c (Å): 7.151 7.151 6.918
angles (deg): 99.88 99.88 120.03
Atoms (fractional coordinates):
Li 0.170 0.830 0.500
Li 0.830 0.170 0.500
Li 0.500 0.500 0.500
La 0.000 0.000 0.000
Er 0.334 0.666 0.000
Er 0.666 0.334 0.000
Se 0.916 0.569 0.747
Se 0.737 0.737 0.256
Se 0.084 0.431 0.253
Se 0.569 0.916 0.747
Se 0.263 0.263 0.744
Se 0.431 0.084 0.253

LiMnGaC2: optimized geometry, GGA-PBE.

ΔH_f (0 K): 1.8291 eV per atom
D(E_F): 0.50 states/eV/atom

a b c (Å): 3.970 3.970 4.257
angles (deg): 90.00 90.00 90.00
Atoms (fractional coordinates):
C 0.000 0.500 0.000
C 0.500 0.000 0.000
Mn 0.500 0.500 0.500
Ga 0.000 0.000 0.000
Li 0.000 0.000 0.500

BaZrHg: optimized geometry, GGA-PBE.

ΔH_f (0 K): 0.5213 eV per atom
D(E_F): 1.72 states/eV/atom

a b c (Å): 5.344 5.344 5.344
angles (deg): 60.00 60.00 60.00
Atoms (fractional coordinates):
Ba 0.500 0.500 0.500
Hg 0.750 0.750 0.750
Zr 0.000 0.000 0.000

Zr2SiPt: optimized geometry, GGA-PBE.

E_form (uncorrected): -0.614 eV/atom
D(E_F): 0.43 states/eV/atom

a b c (Å): 3.712 3.712 5.692
angles (deg): 90.00 90.00 90.00
Atoms (fractional coordinates):
Pt 0.000 0.000 0.464
Si 0.500 0.500 0.805
Zr 0.000 0.000 0.944
Zr 0.500 0.500 0.288

Dy3Sc2Au3: optimized geometry, GGA-PBE.

ΔH_f (0 K): -0.6464 eV per atom
D(E_F): 0.83 states/eV/atom

a b c (Å): 3.566 5.051 10.949
angles (deg): 103.34 99.37 90.00
Atoms (fractional coordinates):
Dy 0.378 0.378 0.757
Dy 0.622 0.622 0.243
Dy 0.500 0.000 0.000
Sc 0.267 0.767 0.534
Sc 0.733 0.233 0.466
Au 0.873 0.873 0.745
Au 0.000 0.500 0.000
Au 0.127 0.127 0.255

La8Pr2Ho3: optimized geometry, GGA-PBE.

ΔH_f (0 K): 0.1376 eV per atom
D(E_F): 1.57 states/eV/atom

a b c (Å): 6.215 11.923 9.085
angles (deg): 131.01 72.40 90.00
Atoms (fractional coordinates):
La 0.745 0.417 0.834
La 0.255 0.583 0.166
La 0.114 0.863 0.725
La 0.886 0.137 0.275
La 0.346 0.925 0.325
La 0.346 0.400 0.325
La 0.654 0.600 0.675
La 0.654 0.075 0.675
Pr 0.668 0.688 0.375
Pr 0.332 0.312 0.625
Ho 0.500 0.000 0.000
Ho 0.000 0.266 0.000
Ho 0.000 0.734 0.000

CaPrDyTh: optimized geometry, GGA-PBE.

ΔH_f (0 K): 0.2277 eV per atom
D(E_F): 2.18 states/eV/atom

a b c (Å): 5.801 5.801 5.801
angles (deg): 60.00 60.00 60.00
Atoms (fractional coordinates):
Pr 0.000 0.000 0.000
Ca 0.250 0.250 0.250
Th 0.750 0.750 0.750
Dy 0.500 0.500 0.500

Question: Number 1 is which compound?
Answer: K3Pb11